Here is a geometry-optimized TaNiAg structure from the Alexandria database. Energies are from GGA-PBE.

Unit cell a=4.9881 b=4.9881 c=4.9881 alpha=142.15 beta=142.15 gamma=54.60
With the nearest neighbours (Å) after each atom.
Fractional coordinates of all 3 atoms:
1 Ag 0.9916 0.9916 0.0000  5 Ni 2.72-2.97, 5 Ta 2.75-2.84
2 Ni 0.3265 0.3265 0.0000  4 Ta 2.62, 4 Ag 2.72
3 Ta 0.6819 0.6819 0.0000  4 Ni 2.62, 5 Ag 2.75-2.84

Calculated values
For the formation enthalpy at 0 K, the calculation gives 0.146 eV per atom. The total magnetization comes out at 0.000 μB per cell. Its space-group type is I4mm, No. 107. The calculation puts the calculated total energy at -6.682 eV/atom. The calculation puts the excess energy over the best structure of this formula in the dataset at 34 meV/atom. The volume is 15.47 Å³/atom.